# CeNpAu2

CeNpAu2 after structural relaxation (PBE, Alexandria via LeMat-Bulk).

- Formation energy from the elements: -271 meV/atom
- Distance to the lowest polymorph of the same formula: 15 meV per atom

a b c (Å): 5.0396 5.0396 3.8363
angles (deg): 90.00 90.00 90.00
With the nearest neighbours (Å) after each atom.
Space group P4/mmm (No. 123)
Symmetry-distinct sites (fractional):
Ce  0.0000  0.0000  0.0000 [1 per cell]  8 Au 3.17
Np  0.5000  0.5000  0.0000 [1 per cell]  8 Au 3.17
Au  0.0000  0.5000  0.5000 [2 per cell]  4 Ce 3.17, 4 Np 3.17


# CeNpAu4

CeNpAu4 after structural relaxation (PBE, Alexandria via LeMat-Bulk).

- Formation energy from the elements: -464 meV/atom
- Distance to the lowest polymorph of the same formula: 0 meV per atom

a b c (Å): 3.1306 4.8876 8.4540
angles (deg): 90.00 90.00 90.00
With the nearest neighbours (Å) after each atom.
Space group Pmmm (No. 47)
Symmetry-distinct sites (fractional):
Ce  0.0000  0.0000  0.0000 [1 per cell]  2 Ce 3.13, 12 Au 3.23
Np  0.0000  0.5000  0.5000 [1 per cell]  2 Np 3.13, 12 Au 3.22
Au  0.5000  0.0000  0.3344 [2 per cell]  5 Au 2.80-3.13
Au  0.5000  0.5000  0.1677 [2 per cell]  5 Au 2.82-3.13


# Ce2NpAu6

Ce2NpAu6 after structural relaxation (PBE, Alexandria via LeMat-Bulk).

- Formation energy from the elements: -527 meV/atom

a b c (Å): 8.4402 8.4402 3.1938
angles (deg): 90.00 90.00 120.00
With the nearest neighbours (Å) after each atom.
Space group P6/mmm (No. 191)
Symmetry-distinct sites (fractional):
Ce  0.3333  0.6667  0.0000 [2 per cell]  2 Ce 3.19, 12 Au 3.24
Np  0.0000  0.0000  0.0000 [1 per cell]  2 Np 3.19, 12 Au 3.23
Au  0.0000  0.3326  0.5000 [6 per cell]  3 Au 2.81-2.83


| no. | density of states at the Fermi level (states/eV/atom) |
| --- | --- |
| 1 | 3.5283 |
| 2 | 2.0925 |
| 3 | 2.1617 |